Record 1
Here is a relaxed LiZrNi crystal from Alexandria via LeMat-Bulk. Energies are from PBE-GGA.

Values from the calculation:
Energy above the lowest structure with this stoichiometry, meV per atom: 50
V, Å³/atom: 15.9
M_tot, μB per cell: 0.0
ΔE_f, eV/atom: -0.13

Lattice parameters (Å, degrees): 6.940 3.427 12.074 90.00 93.28 90.00
Atoms (fractional coordinates):
1 Li 0.014 0.250 0.080
2 Li 0.116 0.750 0.540
3 Li 0.391 0.250 0.205
4 Li 0.609 0.750 0.795
5 Li 0.884 0.250 0.460
6 Li 0.986 0.750 0.920
7 Zr 0.070 0.750 0.281
8 Zr 0.339 0.250 0.914
9 Zr 0.447 0.250 0.619
10 Zr 0.553 0.750 0.381
11 Zr 0.661 0.750 0.086
12 Zr 0.930 0.250 0.719
13 Ni 0.227 0.750 0.750
14 Ni 0.275 0.250 0.410
15 Ni 0.280 0.750 0.076
16 Ni 0.720 0.250 0.924
17 Ni 0.725 0.750 0.590
18 Ni 0.773 0.250 0.250

***

Record 2
Here is a relaxed Li2ZrNi crystal from Alexandria via LeMat-Bulk. Energies are from PBE-GGA.

Values from the calculation:
Energy above the lowest structure with this stoichiometry, meV per atom: 261
V, Å³/atom: 15.6
M_tot, μB per cell: 0.0
ΔE_f, eV/atom: 0.24

Lattice parameters (Å, degrees): 2.861 2.861 7.633 90.00 90.00 90.00
Atoms (fractional coordinates):
1 Li 0.000 0.000 0.190
2 Li 0.000 0.000 0.810
3 Zr 0.500 0.500 0.500
4 Ni 0.500 0.500 0.000

***

Record 3
Here is a relaxed LiZrNi crystal from Alexandria via LeMat-Bulk. Energies are from PBE-GGA.

Values from the calculation:
Energy above the lowest structure with this stoichiometry, meV per atom: 22
V, Å³/atom: 15.8
M_tot, μB per cell: 0.0
ΔE_f, eV/atom: -0.16

Lattice parameters (Å, degrees): 4.613 8.779 4.669 90.00 90.00 90.00
Atoms (fractional coordinates):
1 Li 0.000 0.048 0.000
2 Li 0.000 0.952 0.500
3 Li 0.500 0.452 0.500
4 Li 0.500 0.548 0.000
5 Zr 0.000 0.280 0.503
6 Zr 0.000 0.720 0.003
7 Zr 0.500 0.220 0.003
8 Zr 0.500 0.780 0.503
9 Ni 0.000 0.403 0.003
10 Ni 0.000 0.597 0.503
11 Ni 0.500 0.097 0.503
12 Ni 0.500 0.903 0.003

***

Record 4
Here is a relaxed LiZr3Ni8 crystal from Alexandria via LeMat-Bulk. Energies are from PBE-GGA.

Values from the calculation:
V, Å³/atom: 13.6
M_tot, μB per cell: 0.0
ΔE_f, eV/atom: -0.40

Lattice parameters (Å, degrees): 8.456 8.456 8.456 33.42 33.42 33.42
Atoms (fractional coordinates):
1 Li 0.000 0.000 0.000
2 Zr 0.121 0.121 0.121
3 Zr 0.510 0.510 0.510
4 Zr 0.638 0.638 0.638
5 Ni 0.069 0.069 0.566
6 Ni 0.069 0.566 0.069
7 Ni 0.073 0.567 0.567
8 Ni 0.319 0.319 0.319
9 Ni 0.566 0.069 0.069
10 Ni 0.567 0.073 0.567
11 Ni 0.567 0.567 0.073
12 Ni 0.819 0.819 0.819

***

Record 5
Here is a relaxed Li2Zr2Ni crystal from Alexandria via LeMat-Bulk. Energies are from PBE-GGA.

Values from the calculation:
Energy above the lowest structure with this stoichiometry, meV per atom: 458
V, Å³/atom: 18.2
M_tot, μB per cell: 0.0
ΔE_f, eV/atom: 0.67

Lattice parameters (Å, degrees): 3.959 3.959 11.632 90.00 90.00 90.00
Atoms (fractional coordinates):
1 Li 0.000 0.000 0.080
2 Li 0.000 0.000 0.920
3 Li 0.500 0.500 0.420
4 Li 0.500 0.500 0.580
5 Zr 0.000 0.500 0.250
6 Zr 0.000 0.500 0.750
7 Zr 0.500 0.000 0.250
8 Zr 0.500 0.000 0.750
9 Ni 0.000 0.000 0.500
10 Ni 0.500 0.500 0.000

***

Record 6
Here is a relaxed Li2Zr2Ni15 crystal from Alexandria via LeMat-Bulk. Energies are from PBE-GGA.

Values from the calculation:
V, Å³/atom: 12.3
M_tot, μB per cell: 3.9
ΔE_f, eV/atom: -0.20

Lattice parameters (Å, degrees): 6.205 6.205 6.205 82.49 82.49 82.49
Atoms (fractional coordinates):
1 Li 0.093 0.093 0.093
2 Li 0.907 0.907 0.907
3 Zr 0.347 0.347 0.347
4 Zr 0.653 0.653 0.653
5 Ni 0.000 0.000 0.500
6 Ni 0.000 0.318 0.682
7 Ni 0.000 0.500 0.000
8 Ni 0.000 0.682 0.318
9 Ni 0.165 0.658 0.658
10 Ni 0.318 0.000 0.682
11 Ni 0.318 0.682 0.000
12 Ni 0.342 0.342 0.835
13 Ni 0.342 0.835 0.342
14 Ni 0.500 0.000 0.000
15 Ni 0.658 0.165 0.658
16 Ni 0.658 0.658 0.165
17 Ni 0.682 0.000 0.318
18 Ni 0.682 0.318 0.000
19 Ni 0.835 0.342 0.342

***

Record 7
Here is a relaxed LiZrNi crystal from Alexandria via LeMat-Bulk. Energies are from PBE-GGA.

Values from the calculation:
Energy above the lowest structure with this stoichiometry, meV per atom: 318
V, Å³/atom: 17.7
M_tot, μB per cell: 0.0
ΔE_f, eV/atom: 0.14

Lattice parameters (Å, degrees): 3.059 3.059 6.569 90.00 90.00 120.00
Atoms (fractional coordinates):
1 Li 0.000 0.000 0.000
2 Zr 0.667 0.333 0.589
3 Ni 0.333 0.667 0.299

***

Record 8
Here is a relaxed Li2ZrNi crystal from Alexandria via LeMat-Bulk. Energies are from PBE-GGA.

Values from the calculation:
Energy above the lowest structure with this stoichiometry, meV per atom: 75
V, Å³/atom: 16.2
M_tot, μB per cell: 0.0
ΔE_f, eV/atom: 0.05

Lattice parameters (Å, degrees): 2.894 4.932 4.537 90.00 93.52 90.00
Atoms (fractional coordinates):
1 Li 0.195 0.000 0.277
2 Li 0.805 0.000 0.723
3 Zr 0.500 0.500 0.000
4 Ni 0.000 0.500 0.500